# 1
Computed, not measured: a geometry-optimized Ce2HoAl structure at the PBE-GGA level of DFT.

Calculated values
Relative energy among the computed polymorphs ... 118 meV per atom
Formation energy ... -64.0 meV per atom

a b c (Å): 3.9380 3.9380 7.0858
angles (deg): 90.00 90.00 90.00
Space group P4/mmm (No. 123)
Inequivalent atoms, fractional coordinates:
Ce 0.0000 0.0000 0.1983
Ho 0.5000 0.5000 0.5000
Al 0.5000 0.5000 0.0000

---

# 2
Computed, not measured: a geometry-optimized CeHo3Al4 structure at the PBE-GGA level of DFT.

Calculated values
Formation energy ... -353.3 meV per atom

a b c (Å): 3.5663 5.1191 10.2918
angles (deg): 90.00 90.00 90.00
Space group Pmmm (No. 47)
Inequivalent atoms, fractional coordinates:
Ce 0.0000 0.0000 0.0000
Ho 0.0000 0.0000 0.5000
Ho 0.0000 0.5000 0.2512
Al 0.5000 0.0000 0.2565
Al 0.5000 0.5000 0.0000
Al 0.5000 0.5000 0.5000

---

# 3
Computed, not measured: a geometry-optimized CeHo2Al3 structure at the PBE-GGA level of DFT.

Calculated values
Formation energy ... -357.0 meV per atom

a b c (Å): 3.5384 3.5384 11.2697
angles (deg): 90.00 90.00 90.00
Space group P4/mmm (No. 123)
Inequivalent atoms, fractional coordinates:
Ce 0.0000 0.0000 0.0000
Ho 0.0000 0.0000 0.3388
Al 0.5000 0.5000 0.1768
Al 0.5000 0.5000 0.5000

---

# 4
Computed, not measured: a geometry-optimized LiCeHoAl structure at the PBE-GGA level of DFT.

Calculated values
Formation energy ... -120.2 meV per atom

a b c (Å): 7.2931 7.2931 7.2931
angles (deg): 90.00 90.00 90.00
Space group F-43m (No. 216)
Inequivalent atoms, fractional coordinates:
Li 0.0000 0.0000 0.0000
Ce 0.2500 0.2500 0.7500
Ho 0.2500 0.2500 0.2500
Al 0.0000 0.0000 0.5000

---

# 5
Computed, not measured: a geometry-optimized CeHo2AlN structure at the PBE-GGA level of DFT.

Calculated values
Raw total energy ... -6.258 eV per atom

a b c (Å): 4.7833 4.7833 4.8080
angles (deg): 90.00 90.00 90.00
Space group P4/mmm (No. 123)
Inequivalent atoms, fractional coordinates:
Ce 0.0000 0.0000 0.0000
Ho 0.0000 0.5000 0.5000
Al 0.5000 0.5000 0.0000
N 0.0000 0.0000 0.5000

---

# 6
Computed, not measured: a geometry-optimized CeHoPaAl structure at the PBE-GGA level of DFT.

Calculated values
Formation energy ... 112.8 meV per atom

a b c (Å): 7.3026 7.3026 7.3026
angles (deg): 90.00 90.00 90.00
Space group F-43m (No. 216)
Inequivalent atoms, fractional coordinates:
Ce 0.0000 0.0000 0.0000
Ho 0.2500 0.2500 0.2500
Pa 0.2500 0.2500 0.7500
Al 0.0000 0.0000 0.5000

---

# 7
Computed, not measured: a geometry-optimized CeHoAlPb structure at the PBE-GGA level of DFT.

Calculated values
Formation energy ... -290.2 meV per atom

a b c (Å): 7.5491 7.5491 7.5491
angles (deg): 90.00 90.00 90.00
Space group F-43m (No. 216)
Inequivalent atoms, fractional coordinates:
Ce 0.0000 0.0000 0.0000
Ho 0.0000 0.0000 0.5000
Al 0.2500 0.2500 0.7500
Pb 0.2500 0.2500 0.2500

---

# 8
Computed, not measured: a geometry-optimized CeHoAlPd structure at the PBE-GGA level of DFT.

Calculated values
Formation energy ... -458.9 meV per atom

a b c (Å): 7.2170 7.2170 7.2170
angles (deg): 90.00 90.00 90.00
Space group F-43m (No. 216)
Inequivalent atoms, fractional coordinates:
Ce 0.0000 0.0000 0.0000
Ho 0.0000 0.0000 0.5000
Al 0.2500 0.2500 0.2500
Pd 0.2500 0.2500 0.7500

---

# 9
Computed, not measured: a geometry-optimized CePmHoAl structure at the PBE-GGA level of DFT.

Calculated values
Formation energy ... -24.4 meV per atom

a b c (Å): 7.6083 7.6083 7.6083
angles (deg): 90.00 90.00 90.00
Space group F-43m (No. 216)
Inequivalent atoms, fractional coordinates:
Ce 0.0000 0.0000 0.0000
Pm 0.0000 0.0000 0.5000
Ho 0.2500 0.2500 0.2500
Al 0.2500 0.2500 0.7500

---

# 10
Computed, not measured: a geometry-optimized CeHoAlRh structure at the PBE-GGA level of DFT.

Calculated values
Formation energy ... -462.2 meV per atom

a b c (Å): 7.0975 7.0975 7.0975
angles (deg): 90.00 90.00 90.00
Space group F-43m (No. 216)
Inequivalent atoms, fractional coordinates:
Ce 0.0000 0.0000 0.0000
Ho 0.0000 0.0000 0.5000
Al 0.2500 0.2500 0.7500
Rh 0.2500 0.2500 0.2500

---

# 11
Computed, not measured: a geometry-optimized CeHoAl2Si structure at the PBE-GGA level of DFT.

Calculated values
Raw total energy ... -5.079 eV per atom

a b c (Å): 4.3242 4.3413 12.1733
angles (deg): 90.00 90.00 90.00
Space group Imm2 (No. 44)
Inequivalent atoms, fractional coordinates:
Ce 0.0000 0.0000 0.0000
Ho 0.0000 0.5000 0.7590
Al 0.0000 0.0000 0.6051
Al 0.0000 0.5000 0.2528
Si 0.0000 0.0000 0.4043

---

# 12
Computed, not measured: a geometry-optimized CeSmHoAl structure at the PBE-GGA level of DFT.

Calculated values
Formation energy ... -27.3 meV per atom

a b c (Å): 7.5910 7.5910 7.5910
angles (deg): 90.00 90.00 90.00
Space group F-43m (No. 216)
Inequivalent atoms, fractional coordinates:
Ce 0.0000 0.0000 0.0000
Sm 0.0000 0.0000 0.5000
Ho 0.2500 0.2500 0.7500
Al 0.2500 0.2500 0.2500

---

# 13
Computed, not measured: a geometry-optimized CeHoAlSn structure at the PBE-GGA level of DFT.

Calculated values
Formation energy ... -408.4 meV per atom

a b c (Å): 7.4621 7.4621 7.4621
angles (deg): 90.00 90.00 90.00
Space group F-43m (No. 216)
Inequivalent atoms, fractional coordinates:
Ce 0.0000 0.0000 0.0000
Ho 0.0000 0.0000 0.5000
Al 0.2500 0.2500 0.7500
Sn 0.2500 0.2500 0.2500

---

# 14
Computed, not measured: a geometry-optimized TbCeHoAl structure at the PBE-GGA level of DFT.

Calculated values
Formation energy ... -37.1 meV per atom

a b c (Å): 7.5384 7.5384 7.5384
angles (deg): 90.00 90.00 90.00
Space group F-43m (No. 216)
Inequivalent atoms, fractional coordinates:
Tb 0.0000 0.0000 0.0000
Ce 0.0000 0.0000 0.5000
Ho 0.2500 0.2500 0.2500
Al 0.2500 0.2500 0.7500

---

# 15
Computed, not measured: a geometry-optimized CeHoAlTc structure at the PBE-GGA level of DFT.

Calculated values
Formation energy ... -147.0 meV per atom

a b c (Å): 7.0512 7.0512 7.0512
angles (deg): 90.00 90.00 90.00
Space group F-43m (No. 216)
Inequivalent atoms, fractional coordinates:
Ce 0.0000 0.0000 0.0000
Ho 0.0000 0.0000 0.5000
Al 0.2500 0.2500 0.2500
Tc 0.2500 0.2500 0.7500

---

# 16
Computed, not measured: a geometry-optimized CeHoAlTl structure at the PBE-GGA level of DFT.

Calculated values
Formation energy ... -266.6 meV per atom

a b c (Å): 7.4990 7.4990 7.4990
angles (deg): 90.00 90.00 90.00
Space group F-43m (No. 216)
Inequivalent atoms, fractional coordinates:
Ce 0.0000 0.0000 0.0000
Ho 0.0000 0.0000 0.5000
Al 0.2500 0.2500 0.2500
Tl 0.2500 0.2500 0.7500

---

# 17
Computed, not measured: a geometry-optimized CeHoTmAl structure at the PBE-GGA level of DFT.

Calculated values
Formation energy ... -50.1 meV per atom

a b c (Å): 7.4929 7.4929 7.4929
angles (deg): 90.00 90.00 90.00
Space group F-43m (No. 216)
Inequivalent atoms, fractional coordinates:
Ce 0.0000 0.0000 0.0000
Ho 0.0000 0.0000 0.5000
Tm 0.2500 0.2500 0.2500
Al 0.2500 0.2500 0.7500

---

# 18
Computed, not measured: a geometry-optimized CeYHoAl structure at the PBE-GGA level of DFT.

Calculated values
Formation energy ... -42.7 meV per atom

a b c (Å): 7.5427 7.5427 7.5427
angles (deg): 90.00 90.00 90.00
Space group F-43m (No. 216)
Inequivalent atoms, fractional coordinates:
Ce 0.0000 0.0000 0.0000
Y 0.0000 0.0000 0.5000
Ho 0.2500 0.2500 0.2500
Al 0.2500 0.2500 0.7500

---

# 19
Computed, not measured: a geometry-optimized CeHoAlZn structure at the PBE-GGA level of DFT.

Calculated values
Formation energy ... -309.2 meV per atom

a b c (Å): 7.2153 7.2153 7.2153
angles (deg): 90.00 90.00 90.00
Space group F-43m (No. 216)
Inequivalent atoms, fractional coordinates:
Ce 0.0000 0.0000 0.0000
Ho 0.0000 0.0000 0.5000
Al 0.2500 0.2500 0.7500
Zn 0.2500 0.2500 0.2500

---

# 20
Computed, not measured: a geometry-optimized Ce2HoAl2Zn2 structure at the PBE-GGA level of DFT.

Calculated values
Formation energy ... -333.1 meV per atom

a b c (Å): 4.3790 4.3790 26.9343
angles (deg): 90.00 90.00 120.00
Space group R-3m (No. 166, hexagonal axes)
Inequivalent atoms, fractional coordinates:
Ce 0.0000 0.0000 0.1412
Ho 0.0000 0.0000 0.0000
Al 0.0000 0.0000 0.2640
Zn 0.0000 0.0000 0.4000

---

# 21
Computed, not measured: a geometry-optimized Ce4AlI5 structure at the PBE-GGA level of DFT.

Calculated values
Raw total energy ... -4.463 eV per atom

a b c (Å): 19.3945 4.2556 9.3260
angles (deg): 90.00 101.80 90.00
Space group C2/m (No. 12)
Inequivalent atoms, fractional coordinates:
Ce 0.0009 0.0000 0.2280
Ce 0.1584 0.5000 0.0702
Al 0.0000 0.5000 0.0000
I 0.0000 0.5000 0.5000
I 0.1690 0.0000 0.3333
I 0.1697 0.0000 0.8134

---

# 22
Computed, not measured: a geometry-optimized Ce7AlI12 structure at the PBE-GGA level of DFT.

Calculated values
Raw total energy ... -4.307 eV per atom

a b c (Å): 16.2437 16.2437 10.8569
angles (deg): 90.00 90.00 120.00
Space group R-3 (No. 148, hexagonal axes)
Inequivalent atoms, fractional coordinates:
Ce 0.0000 0.0000 0.0000
Ce 0.0478 0.8799 0.3406
Al 0.0000 0.0000 0.5000
I 0.0228 0.4342 0.1653
I 0.0525 0.8667 0.8397

---

# 23
Computed, not measured: a geometry-optimized CeAlI structure at the PBE-GGA level of DFT.

Calculated values
Raw total energy ... -4.572 eV per atom

a b c (Å): 7.5623 4.3658 12.5228
angles (deg): 90.00 101.80 90.00
Space group C2/m (No. 12)
Inequivalent atoms, fractional coordinates:
Ce 0.0581 0.0000 0.1717
Al 0.1619 0.5000 0.9859
I 0.2188 0.0000 0.6616

---

# 24
Computed, not measured: a geometry-optimized CeAlI structure at the PBE-GGA level of DFT.

Calculated values
Raw total energy ... -4.363 eV per atom

a b c (Å): 3.8121 22.5383 4.3054
angles (deg): 90.00 90.00 90.00
Space group Cmcm (No. 63)
Inequivalent atoms, fractional coordinates:
Ce 0.0000 0.0924 0.2500
Al 0.0000 0.4726 0.2500
I 0.0000 0.3247 0.2500

---

# 25
Computed, not measured: a geometry-optimized CeAlIn2 structure at the PBE-GGA level of DFT.

Calculated values
Relative energy among the computed polymorphs ... 221 meV per atom
Formation energy ... -129.6 meV per atom

a b c (Å): 7.3332 7.3332 7.3332
angles (deg): 90.00 90.00 90.00
Space group Fm-3m (No. 225)
Inequivalent atoms, fractional coordinates:
Ce 0.0000 0.0000 0.0000
Al 0.0000 0.0000 0.5000
In 0.2500 0.2500 0.2500

---

# 26
Computed, not measured: a geometry-optimized CeAlIn structure at the PBE-GGA level of DFT.

Calculated values
Formation energy ... -346.1 meV per atom

a b c (Å): 4.8590 4.8590 7.1401
angles (deg): 90.00 90.00 120.00
Space group P-3m1 (No. 164)
Inequivalent atoms, fractional coordinates:
Ce 0.0000 0.0000 0.2368
Al 0.3333 0.6667 0.9978
In 0.3333 0.6667 0.5229

---

# 27
Computed, not measured: a geometry-optimized Ce6AlIn2 structure at the PBE-GGA level of DFT.

Calculated values
Relative energy among the computed polymorphs ... 0 meV per atom
Formation energy ... -224.0 meV per atom

a b c (Å): 9.1060 9.1060 3.0340
angles (deg): 90.00 90.00 120.00
Space group P6/mmm (No. 191)
Inequivalent atoms, fractional coordinates:
Ce 0.0000 0.3184 0.0000
Al 0.0000 0.0000 0.5000
In 0.3333 0.6667 0.5000